[1]
Material: BaMnIN2
Method: DFT, PBE-GGA
State: relaxed

Output
As for the uncorrected formation energy: 1.547 eV per atom. Its density of states at the Fermi level is 4.0 states/eV per cell. As for the energy above the most stable polymorph in this dataset: 955 meV/atom.

```
5
Lattice="-0.514 -1.426 -4.450 4.597 0.646 -0.738 1.235 -6.554 1.958" Properties=species:S:1:pos:R:3 pbc="T T T"
I 0.617 -3.277 0.979
Mn 2.659 -3.667 -1.615
Ba 0.000 0.000 0.000
N 2.299 0.323 -0.369
N -0.257 -0.713 -2.225
```

[2]
Material: Nd4GaPd2
Method: DFT, PBE-GGA
State: relaxed

Output
Its density of states at the Fermi level is 5.2 states/eV per cell. The energy of formation from the pure elements is -505 meV/atom.

```
7
Lattice="-1.575 3.154 3.497 -0.151 -1.435 4.752 8.034 3.567 3.927" Properties=species:S:1:pos:R:3 pbc="T T T"
Nd 5.847 4.353 9.285
Nd 1.418 2.813 8.679
Nd 0.461 0.933 2.891
Nd 4.889 2.474 3.497
Ga 3.154 2.643 6.088
Pd 0.661 1.776 5.747
Pd 5.646 3.510 6.429
```

[3]
Material: PtS2N
Method: DFT, PBE-GGA
State: relaxed

Output
As for the uncorrected formation energy: 1.116 eV per atom. Its density of states at the Fermi level is 2.3 states/eV per cell.

```
4
Lattice="-2.163 -6.981 -1.400 0.657 -7.404 -0.334 -1.669 -7.072 1.603" Properties=species:S:1:pos:R:3 pbc="T T T"
S -2.842 -19.211 -0.117
S -0.332 -2.245 -0.014
Pt 0.000 0.000 0.000
N -1.587 -10.728 -0.065
```

[4]
Material: PmSbAsPd
Method: DFT, PBE-GGA
State: relaxed

Output
As for the uncorrected formation energy: -0.546 eV per atom. Its density of states at the Fermi level is 2.4 states/eV per cell.

```
4
Lattice="5.017 0.000 0.000 2.508 4.345 0.000 2.508 1.448 4.096" Properties=species:S:1:pos:R:3 pbc="T T T"
Sb 0.000 0.000 0.000
As 7.525 4.345 3.072
Pd 2.508 1.448 1.024
Pm 5.017 2.896 2.048
```

[5]
Material: Ta2CdNi
Method: DFT, PBE-GGA
State: relaxed

Output
Its density of states at the Fermi level is 3.8 states/eV per cell. The energy of formation from the pure elements is 196 meV/atom.

```
4
Lattice="3.989 0.000 0.000 0.000 2.953 0.041 0.000 1.385 5.931" Properties=species:S:1:pos:R:3 pbc="T T T"
Cd 0.000 2.724 3.027
Ni 1.995 2.694 4.716
Ta 0.000 4.156 5.800
Ta 1.995 1.271 1.387
```

[6]
Material: MnCdBr2
Method: DFT, PBE-GGA
State: relaxed

Output
As for the uncorrected formation energy: 0.060 eV per atom. Its density of states at the Fermi level is 2.9 states/eV per cell. As for the energy above the most stable polymorph in this dataset: 513 meV/atom.

```
4
Lattice="-0.891 2.128 3.107 -1.323 -5.406 3.324 4.046 -0.195 1.294" Properties=species:S:1:pos:R:3 pbc="T T T"
Br 0.000 0.000 0.000
Br -1.107 -1.639 3.215
Cd 1.578 0.967 2.200
Mn 1.361 -2.801 2.309
```

Question: Which formula does entry 3 have?
Answer: PtS2N